Entry 1:
A geometry-optimized Ni2TePb structure. Source: Alexandria via LeMat-Bulk, functional PBE.

## Properties
- excess energy over the best structure of this formula in the dataset (meV/atom) = 726.8
- total magnetic moment (μB/atom) = 0.000

Unit cell a=4.826 b=4.826 c=4.826 alpha=60.00 beta=60.00 gamma=60.00
Atoms (fractional coordinates):
Ni: 0.000 0.000 0.000
Ni: 0.250 0.250 0.250
Pb: 0.500 0.500 0.500
Te: 0.750 0.750 0.750

Entry 2:
A geometry-optimized RbCu2SiF8 structure. Source: Alexandria via LeMat-Bulk, functional PBE.

## Properties
- E_tot (eV/cell) = -57.44
- total magnetic moment (μB/atom) = 0.083

Unit cell a=5.150 b=4.973 c=7.487 alpha=100.68 beta=76.19 gamma=105.84
Atoms (fractional coordinates):
Rb: 0.000 0.000 0.500
Cu: 0.436 0.581 0.719
Cu: 0.564 0.419 0.281
Si: 0.000 0.000 0.000
F: 0.904 0.748 0.146
F: 0.819 0.772 0.846
F: 0.709 0.121 0.108
F: 0.096 0.252 0.854
F: 0.181 0.228 0.154
F: 0.291 0.879 0.892
F: 0.374 0.664 0.469
F: 0.626 0.336 0.531

Entry 3:
A geometry-optimized SmEr2Ga4 structure. Source: Alexandria via LeMat-Bulk, functional PBE.

## Properties
- formation energy (eV/f.u.) = -4.526
- total magnetic moment (μB/atom) = 0.000

Unit cell a=4.136 b=4.268 c=9.554 alpha=102.91 beta=102.50 gamma=90.00
Atoms (fractional coordinates):
Ga: 0.648 0.648 0.297
Ga: 0.352 0.352 0.703
Ga: 0.068 0.568 0.136
Ga: 0.932 0.432 0.864
Sm: 0.500 0.000 0.000
Er: 0.815 0.815 0.630
Er: 0.185 0.185 0.370

Entry 4:
A geometry-optimized ScVPt6 structure. Source: Alexandria via LeMat-Bulk, functional PBE.

## Properties
- formation energy (eV/f.u.) = -6.105
- total magnetic moment (μB/atom) = 0.089

Unit cell a=3.956 b=3.956 c=7.955 alpha=90.00 beta=90.00 gamma=90.00
Atoms (fractional coordinates):
Sc: 0.000 0.000 0.000
V: 0.000 0.000 0.500
Pt: 0.500 0.500 0.000
Pt: 0.500 0.500 0.500
Pt: 0.500 0.000 0.259
Pt: 0.500 0.000 0.741
Pt: 0.000 0.500 0.259
Pt: 0.000 0.500 0.741

Entry 5:
A geometry-optimized LiMn2S structure. Source: Alexandria via LeMat-Bulk, functional PBE.

## Properties
- E_tot (eV/cell) = -47.75
- total magnetic moment (μB/atom) = 1.402

Unit cell a=7.107 b=7.107 c=5.576 alpha=50.42 beta=50.42 gamma=90.00
Atoms (fractional coordinates):
S: 0.000 0.000 0.000
S: 0.750 0.250 0.500
Mn: 0.710 0.125 0.250
Mn: 0.040 0.625 0.250
Mn: 0.375 0.290 0.750
Mn: 0.875 0.960 0.750
Li: 0.500 0.500 0.000
Li: 0.250 0.750 0.500

Entry 6:
A geometry-optimized TaVS2N structure. Source: Alexandria via LeMat-Bulk, functional PBE.

## Properties
- excess energy over the best structure of this formula in the dataset (meV/atom) = 0.0
- total magnetic moment (μB/atom) = 0.123

Unit cell a=4.660 b=4.660 c=3.548 alpha=90.00 beta=90.00 gamma=90.00
Atoms (fractional coordinates):
N: 0.000 0.000 0.500
S: 0.000 0.500 0.000
S: 0.500 0.000 0.000
V: 0.000 0.000 0.000
Ta: 0.500 0.500 0.500

Entry 7:
A geometry-optimized Zr2ReTc structure. Source: Alexandria via LeMat-Bulk, functional PBE.

## Properties
- formation energy (eV/f.u.) = -0.239
- total magnetic moment (μB/atom) = 0.000

Unit cell a=4.458 b=2.923 c=5.527 alpha=82.42 beta=90.00 gamma=90.00
Atoms (fractional coordinates):
Re: 0.500 0.250 0.250
Tc: 0.500 0.750 0.750
Zr: 0.000 0.995 0.000
Zr: 0.000 0.505 0.500

Entry 8:
A geometry-optimized Tc3AsPt structure. Source: Alexandria via LeMat-Bulk, functional PBE.

## Properties
- excess energy over the best structure of this formula in the dataset (meV/atom) = 0.0
- formation energy (eV/f.u.) = 5.782
- total magnetic moment (μB/atom) = 0.000

Unit cell a=4.482 b=4.482 c=4.482 alpha=90.00 beta=90.00 gamma=90.00
Atoms (fractional coordinates):
As: 0.000 0.000 0.000
Tc: 0.000 0.500 0.000
Tc: 0.000 0.000 0.500
Tc: 0.500 0.000 0.000
Pt: 0.500 0.500 0.500

Entry 9:
A geometry-optimized Zn2SbOs structure. Source: Alexandria via LeMat-Bulk, functional PBE.

## Properties
- E_tot (eV/cell) = -16.56
- total magnetic moment (μB/atom) = 0.000

Unit cell a=4.831 b=4.831 c=4.908 alpha=130.24 beta=130.24 gamma=71.80
Atoms (fractional coordinates):
Os: 0.500 0.500 0.000
Sb: 0.250 0.750 0.500
Zn: 0.000 0.000 0.000
Zn: 0.750 0.250 0.500

Entry 10:
A geometry-optimized CaNi3S structure. Source: Alexandria via LeMat-Bulk, functional PBE.

## Properties
- excess energy over the best structure of this formula in the dataset (meV/atom) = 0.0
- total magnetic moment (μB/atom) = 0.000

Unit cell a=4.261 b=4.261 c=4.261 alpha=90.00 beta=90.00 gamma=90.00
Atoms (fractional coordinates):
Ni: 0.000 0.500 0.000
Ni: 0.000 0.000 0.500
Ni: 0.500 0.000 0.000
Ca: 0.500 0.500 0.500
S: 0.000 0.000 0.000

Entry 11:
A geometry-optimized Ca2ScBr structure. Source: Alexandria via LeMat-Bulk, functional PBE.

## Properties
- excess energy over the best structure of this formula in the dataset (meV/atom) = 54.9
- total magnetic moment (μB/atom) = 0.155

Unit cell a=3.590 b=3.590 c=9.465 alpha=90.00 beta=90.00 gamma=90.00
Atoms (fractional coordinates):
Sc: 0.500 0.500 0.250
Ca: 0.000 0.000 0.986
Ca: 0.000 0.000 0.514
Br: 0.500 0.500 0.750

Entry 12:
A geometry-optimized ZnCuH3 structure. Source: Alexandria via LeMat-Bulk, functional PBE.

## Properties
- excess energy over the best structure of this formula in the dataset (meV/atom) = 177.0
- total magnetic moment (μB/atom) = 0.000

Unit cell a=3.519 b=3.519 c=3.519 alpha=90.00 beta=90.00 gamma=90.00
Atoms (fractional coordinates):
H: 0.000 0.500 0.000
H: 0.000 0.000 0.500
H: 0.500 0.000 0.000
Zn: 0.000 0.000 0.000
Cu: 0.500 0.500 0.500